First-principles (PBE) data for an optimized crystal structure of KGeRu3, as listed in the Alexandria database.

Geometry as POSCAR:
```
KGeRu3
1.0
4.728 0.000 0.000
0.000 4.728 0.000
0.000 0.000 4.728
Ru Ge K
3 1 1
direct
0.000 0.500 0.000
0.000 0.000 0.500
0.500 0.000 0.000
0.000 0.000 0.000
0.500 0.500 0.500
```

Energy above the lowest structure with this stoichiometry   0.0 meV per atom
ΔH_f (0 K)   1.178 eV per atom